# PBE-GGA RbErAgF6, relaxed
data_RbErAgF6
_cell_length_a 7.755
_cell_length_b 8.245
_cell_length_c 12.008
_cell_angle_alpha 90.00
_cell_angle_beta 90.00
_cell_angle_gamma 90.00
_space_group_name_H-M_alt 'I m m a'
_space_group_IT_number 74
_space_group_name_Hall '-I 2b 2'
loop_
_atom_site_label
_atom_site_fract_x
_atom_site_fract_y
_atom_site_fract_z
Rb1 0.000 0.250 0.044
Er1 0.000 0.000 0.500
Ag1 0.250 0.250 0.750
F1 0.000 0.250 0.441
F2 0.000 0.250 0.805
F3 0.212 0.056 0.610
# size of the total moment = 0.00 μB/cell
# calculated volume = 21.33 Å³/atom
# mass density = 4.11 Mg/m³
# ΔE_f (raw) = -2805 meV/atom